No. 1
{
  "formula": "AlAg5Pd6",
  "functional": "PBE",
  "state": "optimized geometry",
  "total_magnetization_mub_per_cell": 0.0,
  "space_group": "No. 65",
  "ef_ev_per_atom": -0.213,
  "lattice": [[2.258, -6.791, 0.000], [2.258, 6.791, 0.000], [0.000, 0.000, 6.383]],
  "species": ["Al", "Ag", "Ag", "Ag", "Ag", "Ag", "Pd", "Pd", "Pd", "Pd", "Pd", "Pd"],
  "fractional_positions": [[0.000, 0.000, 0.000], [0.000, 0.000, 0.500], [0.325, 0.675, 0.000], [0.330, 0.670, 0.500], [0.670, 0.330, 0.500], [0.675, 0.325, 0.000], [0.155, 0.845, 0.239], [0.155, 0.845, 0.761], [0.500, 0.500, 0.229], [0.500, 0.500, 0.771], [0.845, 0.155, 0.239], [0.845, 0.155, 0.761]]
}

=====

No. 2
{
  "formula": "PaTiZnRh",
  "functional": "PBE",
  "state": "optimized geometry",
  "total_magnetization_mub_per_cell": 2.0,
  "space_group": "No. 216",
  "ef_ev_per_atom": -0.306,
  "lattice": [[0.000, 3.286, 3.286], [3.286, 0.000, 3.286], [3.286, 3.286, 0.000]],
  "species": ["Pa", "Ti", "Zn", "Rh"],
  "fractional_positions": [[0.000, 0.000, 0.000], [0.750, 0.750, 0.750], [0.500, 0.500, 0.500], [0.250, 0.250, 0.250]]
}

=====

No. 3
{
  "formula": "BaBe2W",
  "functional": "PBE",
  "state": "optimized geometry",
  "total_magnetization_mub_per_cell": 0.0,
  "space_group": "No. 6",
  "polymorph_energy_ev_per_fu": 0.54,
  "ef_ev_per_atom": 0.681,
  "lattice": [[3.582, 0.000, 0.000], [0.000, 3.394, 0.000], [-1.773, 0.000, 6.400]],
  "species": ["Ba", "Be", "Be", "W"],
  "fractional_positions": [[0.000, 0.000, 0.000], [0.244, 0.000, 0.478], [0.340, 0.500, 0.671], [0.727, 0.500, 0.444]]
}

=====

No. 4
{
  "formula": "SrPaTiN4",
  "functional": "PBE",
  "state": "optimized geometry",
  "total_magnetization_mub_per_cell": 0.0,
  "space_group": "No. 63",
  "raw_formation_energy_mev_per_atom": -1067,
  "lattice": [[2.747, -6.265, 0.000], [2.747, 6.265, 0.000], [0.000, 0.000, 5.619]],
  "species": ["Sr", "Sr", "Pa", "Pa", "Ti", "Ti", "N", "N", "N", "N", "N", "N", "N", "N"],
  "fractional_positions": [[0.102, 0.898, 0.750], [0.898, 0.102, 0.250], [0.386, 0.614, 0.750], [0.614, 0.386, 0.250], [0.242, 0.758, 0.250], [0.758, 0.242, 0.750], [0.000, 0.500, 0.000], [0.000, 0.500, 0.500], [0.091, 0.909, 0.250], [0.449, 0.551, 0.250], [0.500, 0.000, 0.000], [0.500, 0.000, 0.500], [0.551, 0.449, 0.750], [0.909, 0.091, 0.750]]
}

=====

No. 5
{
  "formula": "In2FeCu2",
  "functional": "PBE",
  "state": "optimized geometry",
  "total_magnetization_mub_per_cell": 5.1,
  "space_group": "No. 127",
  "ef_ev_per_atom": 0.292,
  "lattice": [[7.048, 0.000, 0.000], [0.000, 7.048, 0.000], [0.000, 0.000, 3.370]],
  "species": ["In", "In", "In", "In", "Fe", "Fe", "Cu", "Cu", "Cu", "Cu"],
  "fractional_positions": [[0.176, 0.324, 0.000], [0.324, 0.824, 0.000], [0.676, 0.176, 0.000], [0.824, 0.676, 0.000], [0.000, 0.000, 0.500], [0.500, 0.500, 0.500], [0.125, 0.625, 0.500], [0.375, 0.125, 0.500], [0.625, 0.875, 0.500], [0.875, 0.375, 0.500]]
}

=====

No. 6
{
  "formula": "La2Nd6Al",
  "functional": "PBE",
  "state": "optimized geometry",
  "total_magnetization_mub_per_cell": 0.0,
  "space_group": "No. 12",
  "ef_ev_per_atom": 0.074,
  "lattice": [[8.871, -4.876, 0.000], [8.871, 4.876, 0.000], [-0.331, 0.000, 3.595]],
  "species": ["La", "La", "Nd", "Nd", "Nd", "Nd", "Nd", "Nd", "Al"],
  "fractional_positions": [[0.170, 0.170, 0.431], [0.830, 0.830, 0.569], [0.168, 0.504, 0.024], [0.223, 0.777, 0.500], [0.496, 0.832, 0.976], [0.504, 0.168, 0.024], [0.777, 0.223, 0.500], [0.832, 0.496, 0.976], [0.500, 0.500, 0.000]]
}

=====

No. 7
{
  "formula": "Na2As5Pd3",
  "functional": "PBE",
  "state": "optimized geometry",
  "total_magnetization_mub_per_cell": 0.0,
  "space_group": "No. 72",
  "ef_ev_per_atom": -0.328,
  "lattice": [[-5.267, 5.917, 3.199], [5.267, -5.917, 3.199], [5.267, 5.917, -3.199]],
  "species": ["Na", "Na", "Na", "Na", "As", "As", "As", "As", "As", "As", "As", "As", "As", "As", "Pd", "Pd", "Pd", "Pd", "Pd", "Pd"],
  "fractional_positions": [[0.128, 0.232, 0.360], [0.372, 0.732, 0.104], [0.628, 0.268, 0.896], [0.872, 0.768, 0.640], [0.023, 0.750, 0.273], [0.108, 0.652, 0.761], [0.250, 0.250, 0.000], [0.392, 0.152, 0.544], [0.477, 0.750, 0.727], [0.523, 0.250, 0.273], [0.608, 0.848, 0.456], [0.750, 0.750, 0.000], [0.892, 0.348, 0.239], [0.977, 0.250, 0.727], [0.142, 0.885, 0.027], [0.250, 0.750, 0.500], [0.358, 0.385, 0.744], [0.642, 0.615, 0.256], [0.750, 0.250, 0.500], [0.858, 0.115, 0.973]]
}

=====

No. 8
{
  "formula": "Pm5Nd2Y2",
  "functional": "PBE",
  "state": "optimized geometry",
  "total_magnetization_mub_per_cell": 0.0,
  "space_group": "No. 2",
  "polymorph_energy_ev_per_fu": 0.00,
  "ef_ev_per_atom": 0.010,
  "lattice": [[3.636, 0.000, 0.000], [1.813, 6.038, 0.000], [1.818, 0.519, 13.976]],
  "species": ["Pm", "Pm", "Pm", "Pm", "Pm", "Nd", "Nd", "Y", "Y"],
  "fractional_positions": [[0.000, 0.000, 0.000], [0.333, 0.670, 0.669], [0.447, 0.885, 0.219], [0.553, 0.115, 0.781], [0.667, 0.330, 0.331], [0.109, 0.223, 0.557], [0.891, 0.777, 0.443], [0.223, 0.443, 0.109], [0.777, 0.557, 0.891]]
}